# 1
Computed, not measured: a relaxed structure of LaTaCoCu at the PBE level of DFT.

Values from the calculation:
Energy above the lowest structure with this stoichiometry in meV/atom: 165.1
Uncorrected energy in eV per atom: -6.375

Cell lengths 4.5592, 4.5592, 4.5592 Å; angles 60.00, 60.00, 60.00 degrees
Last column: nearest neighbours and their distance in Å.
Sites, in units of the cell vectors:
La (0.0000, 0.0000, 0.0000)  4 Ta 2.79, 4 Co 2.79
Ta (0.2500, 0.2500, 0.2500)  4 La 2.79, 4 Cu 2.79
Co (0.7500, 0.7500, 0.7500)  4 La 2.79, 4 Cu 2.79
Cu (0.5000, 0.5000, 0.5000)  4 Ta 2.79, 4 Co 2.79

# 2
Computed, not measured: a relaxed structure of NaHfZrIr at the PBE level of DFT.

Values from the calculation:
Energy above the lowest structure with this stoichiometry in meV/atom: 0.0
Uncorrected energy in eV per atom: -7.285

Cell lengths 4.7479, 4.7479, 4.7479 Å; angles 60.00, 60.00, 60.00 degrees
Last column: nearest neighbours and their distance in Å.
Sites, in units of the cell vectors:
Na (0.0000, 0.0000, 0.0000)  4 Zr 2.91, 4 Hf 2.91
Hf (0.2500, 0.2500, 0.2500)  4 Na 2.91, 4 Ir 2.91
Zr (0.7500, 0.7500, 0.7500)  4 Na 2.91, 4 Ir 2.91
Ir (0.5000, 0.5000, 0.5000)  4 Hf 2.91, 4 Zr 2.91

# 3
Computed, not measured: a relaxed structure of Er6Co30P19 at the PBE level of DFT.

Values from the calculation:
Uncorrected energy in eV per atom: -7.088

Cell lengths 14.6056, 14.6056, 3.5619 Å; angles 90.00, 90.00, 120.00 degrees
Last column: nearest neighbours and their distance in Å.
Sites, in units of the cell vectors:
Er (0.0379, 0.2739, 0.0000)  6 P 2.79-2.82, 7 Co 2.90-3.05
Er (0.2360, 0.9621, 0.0000)  6 P 2.79-2.82, 7 Co 2.90-3.05
Er (0.4308, 0.3713, 0.5000)  6 P 2.79-2.81, 7 Co 2.89-3.11
Er (0.6287, 0.0594, 0.5000)  6 P 2.79-2.81, 7 Co 2.89-3.11
Er (0.7261, 0.7640, 0.0000)  6 P 2.79-2.82, 7 Co 2.90-3.05
Er (0.9406, 0.5692, 0.5000)  6 P 2.79-2.81, 7 Co 2.89-3.11
Co (0.0595, 0.4425, 0.5000)  4 P 2.24-2.30
Co (0.0676, 0.8168, 0.5000)  4 P 2.22-2.28
Co (0.1072, 0.7115, 0.0000)  4 P 2.23-2.29
Co (0.1084, 0.0932, 0.0000)  5 P 2.24-2.37
Co (0.1832, 0.2508, 0.5000)  4 P 2.22-2.28
Co (0.1990, 0.6428, 0.5000)  3 P 2.23-2.42
Co (0.2036, 0.5088, 0.0000)  4 P 2.13-2.26
Co (0.2593, 0.1289, 0.5000)  4 P 2.23-2.30
Co (0.2885, 0.3958, 0.0000)  4 P 2.23-2.29
Co (0.3052, 0.7964, 0.0000)  4 P 2.13-2.26
Co (0.3572, 0.5562, 0.5000)  3 P 2.23-2.42
Co (0.3830, 0.9405, 0.5000)  4 P 2.24-2.30
Co (0.4069, 0.2035, 0.0000)  4 P 2.22-2.29
Co (0.4438, 0.8010, 0.5000)  3 P 2.23-2.42
Co (0.4847, 0.0840, 0.0000)  4 P 2.22-2.28
Co (0.4912, 0.6948, 0.0000)  4 P 2.13-2.26
Co (0.5584, 0.2403, 0.5000)  5 P 2.24-2.37
Co (0.5575, 0.6170, 0.5000)  4 P 2.24-2.30
Co (0.5993, 0.5153, 0.0000)  4 P 2.22-2.28
Co (0.6042, 0.8928, 0.0000)  4 P 2.23-2.29
Co (0.6819, 0.4416, 0.5000)  5 P 2.24-2.37
Co (0.7492, 0.9324, 0.5000)  4 P 2.22-2.28
Co (0.7597, 0.3181, 0.5000)  5 P 2.24-2.37
Co (0.7965, 0.2035, 0.0000)  4 P 2.22-2.29
Co (0.7965, 0.5931, 0.0000)  4 P 2.22-2.29
Co (0.8696, 0.7407, 0.5000)  4 P 2.23-2.30
Co (0.8711, 0.1304, 0.5000)  4 P 2.23-2.30
Co (0.9068, 0.0152, 0.0000)  5 P 2.24-2.37
Co (0.9160, 0.4007, 0.0000)  4 P 2.22-2.28
Co (0.9848, 0.8916, 0.0000)  5 P 2.24-2.37
P (0.0170, 0.1180, 0.5000)  6 Co 2.22-2.37
P (0.0763, 0.5459, 0.0000)  7 Co 2.18-2.42
P (0.1009, 0.9830, 0.5000)  6 Co 2.22-2.37
P (0.1984, 0.4108, 0.5000)  7 Co 2.23-2.30
P (0.2124, 0.8016, 0.5000)  7 Co 2.23-2.30
P (0.2719, 0.2345, 0.0000)  7 Co 2.23-2.30
P (0.3333, 0.6667, 0.0000)  3 Co 2.13
P (0.3955, 0.0995, 0.5000)  7 Co 2.23-2.29
P (0.4541, 0.5304, 0.0000)  7 Co 2.18-2.42
P (0.4696, 0.9237, 0.0000)  7 Co 2.18-2.42
P (0.5651, 0.3490, 0.0000)  6 Co 2.22-2.37
P (0.5892, 0.7876, 0.5000)  7 Co 2.23-2.30
P (0.6510, 0.2160, 0.0000)  6 Co 2.22-2.37
P (0.7040, 0.6045, 0.5000)  7 Co 2.23-2.29
P (0.7655, 0.0374, 0.0000)  7 Co 2.23-2.30
P (0.7840, 0.4349, 0.0000)  6 Co 2.22-2.37
P (0.8820, 0.8991, 0.5000)  6 Co 2.22-2.37
P (0.9005, 0.2960, 0.5000)  7 Co 2.23-2.29
P (0.9626, 0.7281, 0.0000)  7 Co 2.23-2.30

# 4
Computed, not measured: a relaxed structure of CdReNO at the PBE level of DFT.

Values from the calculation:
Energy above the lowest structure with this stoichiometry in meV/atom: 0.0
Uncorrected energy in eV per atom: -6.928

Cell lengths 2.8783, 5.7917, 7.1056 Å; angles 90.00, 90.00, 90.00 degrees
Last column: nearest neighbours and their distance in Å.
Sites, in units of the cell vectors:
Cd (0.0000, 0.1642, 0.0000)  1 O 2.25
Cd (0.0000, 0.8358, 0.5000)  1 O 2.25
Re (0.5000, 0.4193, 0.5522)  1 N 1.77
Re (0.5000, 0.5807, 0.0522)  1 N 1.77
N (0.5000, 0.4191, 0.3026)  1 Re 1.77
N (0.5000, 0.5809, 0.8026)  1 Re 1.77
O (0.0000, 0.1871, 0.6339)  2 Re 2.05, 1 Cd 2.25
O (0.0000, 0.8129, 0.1339)  2 Re 2.05, 1 Cd 2.25

# 5
Computed, not measured: a relaxed structure of MgAg at the PBE level of DFT.

Values from the calculation:
Uncorrected energy in eV per atom: -2.352

Cell lengths 4.8089, 8.8873, 5.1696 Å; angles 90.00, 90.00, 90.00 degrees
Last column: nearest neighbours and their distance in Å.
Sites, in units of the cell vectors:
Mg (0.0000, 0.0779, 0.0000)  5 Ag 2.92-2.97, 7 Mg 2.93-3.23
Mg (0.0000, 0.2706, 0.4701)  7 Ag 2.85-3.00, 4 Mg 2.97-3.10
Mg (0.0000, 0.7294, 0.9701)  7 Ag 2.85-3.00, 4 Mg 2.97-3.10
Mg (0.0000, 0.9221, 0.5000)  5 Ag 2.92-2.97, 7 Mg 2.93-3.23
Mg (0.5000, 0.2545, 0.8319)  8 Ag 2.85-3.02, 4 Mg 3.00-3.05
Mg (0.5000, 0.7455, 0.3319)  8 Ag 2.85-3.02, 4 Mg 3.00-3.05
Ag (0.0000, 0.4065, 0.9692)  6 Mg 2.85-2.92, 6 Ag 2.97-3.07
Ag (0.0000, 0.5935, 0.4692)  6 Mg 2.85-2.92, 6 Ag 2.97-3.07
Ag (0.5000, 0.0841, 0.3360)  9 Mg 2.93-3.01, 3 Ag 2.97-2.99
Ag (0.5000, 0.4179, 0.3193)  5 Mg 2.85-3.02, 7 Ag 2.97-3.01
Ag (0.5000, 0.5821, 0.8193)  5 Mg 2.85-3.02, 7 Ag 2.97-3.01
Ag (0.5000, 0.9159, 0.8360)  9 Mg 2.93-3.01, 3 Ag 2.97-2.99

# 6
Computed, not measured: a relaxed structure of TmScPd at the PBE level of DFT.

Values from the calculation:
Energy above the lowest structure with this stoichiometry in meV/atom: 825.2
Uncorrected energy in eV per atom: -5.130

Cell lengths 4.6291, 4.6291, 4.6291 Å; angles 60.00, 60.00, 60.00 degrees
Last column: nearest neighbours and their distance in Å.
Sites, in units of the cell vectors:
Tm (0.0000, 0.0000, 0.0000)  4 Sc 2.83, 4 Pd 2.83
Sc (0.2500, 0.2500, 0.2500)  4 Tm 2.83
Pd (0.7500, 0.7500, 0.7500)  4 Tm 2.83

# 7
Computed, not measured: a relaxed structure of TlBPt at the PBE level of DFT.

Values from the calculation:
Energy above the lowest structure with this stoichiometry in meV/atom: 0.0
Uncorrected energy in eV per atom: -4.267

Cell lengths 4.0975, 4.0975, 4.0975 Å; angles 60.00, 60.00, 60.00 degrees
Last column: nearest neighbours and their distance in Å.
Sites, in units of the cell vectors:
Tl (0.0000, 0.0000, 0.0000)  4 B 2.51
B (0.7500, 0.7500, 0.7500)  4 Pt 2.51, 4 Tl 2.51
Pt (0.5000, 0.5000, 0.5000)  4 B 2.51

# 8
Computed, not measured: a relaxed structure of ScAgTe2PbS at the PBE level of DFT.

Values from the calculation:
Uncorrected energy in eV per atom: -4.579

Cell lengths 7.5263, 7.5263, 10.2004 Å; angles 90.00, 90.00, 147.17 degrees
Last column: nearest neighbours and their distance in Å.
Sites, in units of the cell vectors:
Sc (0.0000, 0.0000, 0.0000)  2 S 2.77, 4 Te 3.01
Sc (0.0000, 0.0000, 0.5000)  2 S 2.77, 4 Te 3.01
Ag (0.4826, 0.5174, 0.7500)  2 S 2.52, 2 Te 2.76
Ag (0.5174, 0.4826, 0.2500)  2 S 2.52, 2 Te 2.76
Te (0.3565, 0.6435, 0.5462)  1 Ag 2.76, 2 Sc 3.01
Te (0.3565, 0.6435, 0.9538)  1 Ag 2.76, 2 Sc 3.01
Te (0.6435, 0.3565, 0.0462)  1 Ag 2.76, 2 Sc 3.01
Te (0.6435, 0.3565, 0.4538)  1 Ag 2.76, 2 Sc 3.01
Pb (0.2643, 0.7357, 0.2500)  2 S 3.14, 6 Te 3.30-3.45
Pb (0.7357, 0.2643, 0.7500)  2 S 3.14, 6 Te 3.30-3.45
S (0.0757, 0.9243, 0.7500)  2 Ag 2.52, 2 Sc 2.77
S (0.9243, 0.0757, 0.2500)  2 Ag 2.52, 2 Sc 2.77

# 9
Computed, not measured: a relaxed structure of In2HgMo at the PBE level of DFT.

Values from the calculation:
Uncorrected energy in eV per atom: -3.474

Cell lengths 5.0017, 5.0017, 5.0017 Å; angles 60.00, 60.00, 60.00 degrees
Last column: nearest neighbours and their distance in Å.
Sites, in units of the cell vectors:
In (0.0000, 0.0000, 0.0000)  4 Hg 3.06, 4 In 3.06
In (0.2500, 0.2500, 0.2500)  4 In 3.06, 4 Mo 3.06
Hg (0.7500, 0.7500, 0.7500)  4 In 3.06, 4 Mo 3.06
Mo (0.5000, 0.5000, 0.5000)  4 Hg 3.06, 4 In 3.06

# 10
Computed, not measured: a relaxed structure of LiAs5Pd3 at the PBE level of DFT.

Values from the calculation:
Uncorrected energy in eV per atom: -4.550

Cell lengths 5.5844, 5.5844, 7.0556 Å; angles 90.00, 90.00, 120.00 degrees
Last column: nearest neighbours and their distance in Å.
Sites, in units of the cell vectors:
Li (0.0000, 0.0000, 0.0000)  14 As 3.53-3.57
As (0.0000, 0.0000, 0.5000)  6 Pd 2.79
As (0.3333, 0.6667, 0.2157)  3 Pd 2.57
As (0.3333, 0.6667, 0.7843)  3 Pd 2.57
As (0.6667, 0.3333, 0.2157)  3 Pd 2.57
As (0.6667, 0.3333, 0.7843)  3 Pd 2.57
Pd (0.0000, 0.5000, 0.5000)  6 As 2.57-2.79, 4 Pd 2.79
Pd (0.5000, 0.0000, 0.5000)  6 As 2.57-2.79, 4 Pd 2.79
Pd (0.5000, 0.5000, 0.5000)  6 As 2.57-2.79, 4 Pd 2.79

# 11
Computed, not measured: a relaxed structure of CsTmLuTe3 at the PBE level of DFT.

Values from the calculation:
Energy above the lowest structure with this stoichiometry in meV/atom: 0.0
Uncorrected energy in eV per atom: -4.403

Cell lengths 9.0766, 9.0766, 11.7726 Å; angles 90.00, 90.00, 150.76 degrees
Last column: nearest neighbours and their distance in Å.
Sites, in units of the cell vectors:
Cs (0.2450, 0.7550, 0.7500)  8 Te 3.91-4.11
Cs (0.7550, 0.2450, 0.2500)  8 Te 3.91-4.11
Tm (0.5000, 0.5000, 0.0000)  6 Te 3.15
Tm (0.5000, 0.5000, 0.5000)  6 Te 3.15
Lu (0.0362, 0.9638, 0.2500)  4 Te 2.86-2.89
Lu (0.9638, 0.0362, 0.7500)  4 Te 2.86-2.89
Te (0.1200, 0.8800, 0.0421)  1 Lu 2.86, 2 Tm 3.15
Te (0.1200, 0.8800, 0.4579)  1 Lu 2.86, 2 Tm 3.15
Te (0.4356, 0.5644, 0.2500)  2 Lu 2.89, 2 Tm 3.15
Te (0.5644, 0.4356, 0.7500)  2 Lu 2.89, 2 Tm 3.15
Te (0.8800, 0.1200, 0.5421)  1 Lu 2.86, 2 Tm 3.15
Te (0.8800, 0.1200, 0.9579)  1 Lu 2.86, 2 Tm 3.15

# 12
Computed, not measured: a relaxed structure of TmNbN2O at the PBE level of DFT.

Values from the calculation:
Uncorrected energy in eV per atom: -9.038

Cell lengths 7.8512, 7.8423, 10.9082 Å; angles 90.00, 133.01, 90.00 degrees
Last column: nearest neighbours and their distance in Å.
Sites, in units of the cell vectors:
Tm (0.0615, 0.2253, 0.0290)  3 N 2.22-2.33, 2 O 2.24-2.42
Tm (0.0615, 0.2747, 0.5290)  3 N 2.22-2.33, 2 O 2.24-2.42
Tm (0.4353, 0.7309, 0.4687)  2 O 2.22-2.45, 3 N 2.25-2.41
Tm (0.4353, 0.7691, 0.9687)  2 O 2.22-2.45, 3 N 2.25-2.41
Tm (0.5647, 0.2309, 0.0313)  2 O 2.22-2.45, 3 N 2.25-2.41
Tm (0.5647, 0.2691, 0.5313)  2 O 2.22-2.45, 3 N 2.25-2.41
Tm (0.9385, 0.7253, 0.4710)  3 N 2.22-2.33, 2 O 2.24-2.42
Tm (0.9385, 0.7747, 0.9710)  3 N 2.22-2.33, 2 O 2.24-2.42
Nb (0.0272, 0.0100, 0.2680)  4 N 1.97-2.16, 1 O 2.15
Nb (0.0272, 0.4900, 0.7680)  4 N 1.97-2.16, 1 O 2.15
Nb (0.4706, 0.5051, 0.2196)  4 N 1.95-2.16, 1 O 2.14
Nb (0.4706, 0.9949, 0.7196)  4 N 1.95-2.16, 1 O 2.14
Nb (0.5294, 0.0051, 0.2804)  4 N 1.95-2.16, 1 O 2.14
Nb (0.5294, 0.4949, 0.7804)  4 N 1.95-2.16, 1 O 2.14
Nb (0.9728, 0.5100, 0.2320)  4 N 1.97-2.16, 1 O 2.15
Nb (0.9728, 0.9900, 0.7320)  4 N 1.97-2.16, 1 O 2.15
N (0.0419, 0.7464, 0.2172)  2 Nb 1.97-2.16
N (0.0419, 0.7536, 0.7172)  2 Nb 1.97-2.16
N (0.1804, 0.5736, 0.9991)  2 Nb 1.95-2.02
N (0.1804, 0.9264, 0.4991)  2 Nb 1.95-2.02
N (0.3128, 0.0603, 0.3134)  2 Nb 1.98-2.01
N (0.3128, 0.4397, 0.8134)  2 Nb 1.98-2.01
N (0.4550, 0.2429, 0.6747)  2 Nb 1.99-2.16
N (0.4550, 0.2571, 0.1747)  2 Nb 1.99-2.16
N (0.5450, 0.7429, 0.8253)  2 Nb 1.99-2.16
N (0.5450, 0.7571, 0.3253)  2 Nb 1.99-2.16
N (0.6872, 0.5603, 0.1866)  2 Nb 1.98-2.01
N (0.6872, 0.9397, 0.6866)  2 Nb 1.98-2.01
N (0.8196, 0.0736, 0.5009)  2 Nb 1.95-2.02
N (0.8196, 0.4264, 0.0009)  2 Nb 1.95-2.02
N (0.9581, 0.2464, 0.2828)  2 Nb 1.97-2.16
N (0.9581, 0.2536, 0.7828)  2 Nb 1.97-2.16
O (0.1794, 0.5422, 0.4958)  2 Nb 2.15-2.39, 1 Tm 2.24
O (0.1794, 0.9578, 0.9958)  2 Nb 2.15-2.39, 1 Tm 2.24
O (0.3279, 0.0442, 0.8269)  2 Nb 2.14-2.26, 1 Tm 2.22
O (0.3279, 0.4558, 0.3269)  2 Nb 2.14-2.26, 1 Tm 2.22
O (0.6721, 0.5442, 0.6731)  2 Nb 2.14-2.26, 1 Tm 2.22
O (0.6721, 0.9558, 0.1731)  2 Nb 2.14-2.26, 1 Tm 2.22
O (0.8206, 0.0422, 0.0042)  2 Nb 2.15-2.39, 1 Tm 2.24
O (0.8206, 0.4578, 0.5042)  2 Nb 2.15-2.39, 1 Tm 2.24

- Which of these has the highest uncorrected energy?
  MgAg

- Which of these has the highest uncorrected energy?
  MgAg

- Number 7 is which compound?
  TlBPt